# PBE KBrO2, relaxed
data_KBrO2
_chemical_formula_sum 'K1 Br1 O2'
_space_group_name_H-M_alt 'P 1'
_space_group_IT_number 1
_cell_length_a 6.580
_cell_length_b 6.580
_cell_length_c 6.580
_cell_angle_alpha 33.17
_cell_angle_beta 33.17
_cell_angle_gamma 33.17
loop_
_space_group_symop_operation_xyz
'x,y,z'
loop_
_atom_site_label
_atom_site_type_symbol
_atom_site_fract_x
_atom_site_fract_y
_atom_site_fract_z
K1 K 0.000 0.000 0.000
O1 O 0.869 0.869 0.869
O2 O 0.131 0.131 0.131
Br1 Br 0.500 0.500 0.500
# * mass density: 3.30 g/cm³
# * energy: -11.8 eV for the cell shown
# * ΔE to the lowest computed polymorph: 1017 meV/atom
# * formation energy without anion corrections: 87 kJ/mol of formula units
# * Fermi-level density of states: 0.502 states/eV per cell